The following is a SCAN calculation of a PBEsol-optimized structure of CaSi2Sn, from Alexandria.

The raw total energy is -130.405 eV per cell. The formation energy from raw total energies is 103 meV per atom.

```
CaSi2Sn
1.0
6.237 -0.029 0.000
-3.086 5.421 0.000
-1.576 -2.696 5.399
Ca Si Sn
2 4 2
direct
0.750 0.250 0.500
0.500 0.500 0.000
0.125 0.090 0.465
0.340 0.875 0.965
0.625 0.660 0.535
0.910 0.375 0.035
0.250 0.750 0.500
0.000 0.000 0.000
```

---

The following is a SCAN calculation of a PBEsol-optimized structure of CaSi2Sn2, from Alexandria.

The raw total energy is -101.488 eV per cell. The formation energy from raw total energies is 10 meV per atom.

```
CaSi2Sn2
1.0
-4.197 2.977 -0.596
-0.301 -4.156 3.877
0.284 1.397 4.980
Sn Si Ca
2 2 1
direct
0.250 0.500 0.250
0.750 0.500 0.750
0.637 0.274 0.363
0.363 0.726 0.637
0.000 0.000 0.000
```

---

The following is a SCAN calculation of a PBEsol-optimized structure of SrCa2Si, from Alexandria.

The raw total energy is -52.321 eV per cell. The formation energy from raw total energies is -176 meV per atom.

```
SrCa2Si
1.0
3.586 0.000 0.000
0.000 4.959 0.000
-1.793 -2.479 7.782
Si Sr Ca
1 1 2
direct
0.497 0.497 0.994
0.166 0.666 0.332
0.997 0.997 0.993
0.840 0.340 0.681
```

---

The following is a SCAN calculation of a PBEsol-optimized structure of Sr2CaSi, from Alexandria.

The raw total energy is -64.128 eV per cell. The formation energy from raw total energies is 25 meV per atom.

```
Sr2CaSi
1.0
-1.431 4.356 -2.214
-4.353 -2.184 -1.484
0.804 0.303 5.930
Si Sr Ca
1 2 1
direct
0.000 0.000 0.000
0.750 0.250 0.500
0.250 0.750 0.500
0.500 0.500 0.000
```